Entry from the Alexandria database: a relaxed structure of La3DyTm2Se6 (PBE).

Output
The calculation puts the total magnetization at 0.0 μB per cell. As for the total energy: -71.52 eV for the cell shown.

Cell: 7.1341 7.1341 7.3998 Å, 99.24 99.24 120.16°
With the nearest neighbours (Å) after each atom.
Fractional coordinates of all 12 atoms:
La: 0.0000 0.0000 0.0000  6 Se 3.03-3.06
La: 0.3351 0.6649 0.0000  6 Se 3.04-3.06
La: 0.6649 0.3351 0.0000  6 Se 3.04-3.06
Dy: 0.5000 0.5000 0.5000  6 Se 2.88
Tm: 0.1665 0.8335 0.5000  6 Se 2.84-2.85
Tm: 0.8335 0.1665 0.5000  6 Se 2.84-2.85
Se: 0.0874 0.4244 0.2727  2 Tm 2.85, 1 Dy 2.88, 3 La 3.04-3.06
Se: 0.2383 0.2383 0.7260  2 Tm 2.84, 1 Dy 2.88, 3 La 3.03-3.05
Se: 0.4244 0.0874 0.2727  2 Tm 2.85, 1 Dy 2.88, 3 La 3.04-3.06
Se: 0.5756 0.9126 0.7273  2 Tm 2.85, 1 Dy 2.88, 3 La 3.04-3.06
Se: 0.7617 0.7617 0.2740  2 Tm 2.84, 1 Dy 2.88, 3 La 3.03-3.05
Se: 0.9126 0.5756 0.7273  2 Tm 2.85, 1 Dy 2.88, 3 La 3.04-3.06

---

Entry from the Alexandria database: a relaxed structure of Tb5Tl2Pb2 (PBE).

Output
Its energy of formation is -0.4386 eV per atom. The calculation puts the total magnetization at 0.0 μB per cell.

Cell: 8.9519 8.9519 8.1673 Å, 90.00 90.00 55.02°
With the nearest neighbours (Å) after each atom.
Fractional coordinates of all 18 atoms:
Tb: 0.0000 0.0000 0.0000  4 Tl 3.21-3.24, 2 Pb 3.30
Tb: 0.0362 0.6885 0.6704  3 Pb 3.16-3.25, 3 Tl 3.17-3.35
Tb: 0.1885 0.5362 0.1704  3 Pb 3.16-3.25, 3 Tl 3.17-3.35
Tb: 0.3115 0.9638 0.6704  3 Pb 3.16-3.25, 3 Tl 3.17-3.35
Tb: 0.4638 0.8115 0.1704  3 Pb 3.16-3.25, 3 Tl 3.17-3.35
Tb: 0.5000 0.5000 0.5000  4 Tl 3.21-3.24, 2 Pb 3.30
Tb: 0.5362 0.1885 0.8296  3 Pb 3.16-3.25, 3 Tl 3.17-3.35
Tb: 0.6885 0.0362 0.3296  3 Pb 3.16-3.25, 3 Tl 3.17-3.35
Tb: 0.8115 0.4638 0.8296  3 Pb 3.16-3.25, 3 Tl 3.17-3.35
Tb: 0.9638 0.3115 0.3296  3 Pb 3.16-3.25, 3 Tl 3.17-3.35
Tl: 0.1298 0.8702 0.3699  1 Tl 3.02, 8 Tb 3.17-3.35
Tl: 0.3702 0.6298 0.8699  1 Tl 3.02, 8 Tb 3.17-3.35
Tl: 0.6298 0.3702 0.1301  1 Tl 3.02, 8 Tb 3.17-3.35
Tl: 0.8702 0.1298 0.6301  1 Tl 3.02, 8 Tb 3.17-3.35
Pb: 0.2080 0.2080 0.0000  7 Tb 3.16-3.30
Pb: 0.2920 0.2920 0.5000  7 Tb 3.16-3.30
Pb: 0.7080 0.7080 0.5000  7 Tb 3.16-3.30
Pb: 0.7920 0.7920 0.0000  7 Tb 3.16-3.30

---

Entry from the Alexandria database: a relaxed structure of ZrMo3Pt (PBE).

Output
Its energy of formation is 1.4031 eV per atom. As for the distance to the lowest polymorph of the same formula: 0 meV/atom. The calculation puts the total magnetization at 0.0 μB per cell.

Cell: 4.7810 4.7810 4.7810 Å, 90.00 90.00 90.00°
With the nearest neighbours (Å) after each atom.
Fractional coordinates of all 5 atoms:
Zr: 0.0000 0.0000 0.0000  12 Mo 3.38
Mo: 0.0000 0.5000 0.5000  2 Pt 2.39
Mo: 0.5000 0.0000 0.5000  2 Pt 2.39
Mo: 0.5000 0.5000 0.0000  2 Pt 2.39
Pt: 0.5000 0.5000 0.5000  6 Mo 2.39

---

Entry from the Alexandria database: a relaxed structure of LiLuNiIr (PBE).

Output
Its energy of formation is -0.3419 eV per atom. The calculation puts the total magnetization at 0.0 μB per cell.

Cell: 4.4594 4.4594 4.4594 Å, 60.00 60.00 60.00°
With the nearest neighbours (Å) after each atom.
Fractional coordinates of all 4 atoms:
Li: 0.0000 0.0000 0.0000  4 Ni 2.73, 4 Ir 2.73
Lu: 0.5000 0.5000 0.5000  4 Ni 2.73, 4 Ir 2.73
Ni: 0.7500 0.7500 0.7500  4 Li 2.73, 4 Lu 2.73
Ir: 0.2500 0.2500 0.2500  4 Li 2.73, 4 Lu 2.73

---

Entry from the Alexandria database: a relaxed structure of CuTePd (PBE).

Output
The calculation puts the total magnetization at 0.0 μB per cell. As for the total energy: -12.63 eV for the cell shown.

Cell: 4.8017 4.8017 4.8017 Å, 135.86 135.86 64.20°
With the nearest neighbours (Å) after each atom.
Fractional coordinates of all 3 atoms:
Cu: 0.0000 0.0000 0.0000  5 Te 2.67-2.91, 5 Pd 2.76-2.87
Te: 0.6717 0.6717 0.0000  5 Cu 2.67-2.91, 5 Pd 2.70-2.89
Pd: 0.3393 0.3393 0.0000  5 Te 2.70-2.89, 5 Cu 2.76-2.87

---

Entry from the Alexandria database: a relaxed structure of MgPaGaSi (PBE).

Output
The calculation puts the total magnetization at 0.0 μB per cell. As for the total energy: -20.23 eV for the cell shown.

Cell: 4.8255 4.8255 4.8255 Å, 60.00 60.00 60.00°
With the nearest neighbours (Å) after each atom.
Fractional coordinates of all 4 atoms:
Mg: 0.0000 0.0000 0.0000  4 Si 2.95, 4 Ga 2.95
Pa: 0.5000 0.5000 0.5000  4 Si 2.95, 4 Ga 2.95
Ga: 0.2500 0.2500 0.2500  4 Pa 2.95, 4 Mg 2.95
Si: 0.7500 0.7500 0.7500  4 Pa 2.95, 4 Mg 2.95